20
Lattice="5.5415 0.0000 0.0000 0.0000 8.0650 0.0000 0.0000 0.0000 5.9896" Properties=species:S:1:pos:R:3 comment="La2ErCoO6 PBE with a Hubbard U optimized geometry" m_tot_mub_per_fu=0.1 energy_ev_per_atom=-7.66 volume_a3_per_cell=268 pbc="T T T"
La 1.3854 0.2342 1.1959
La 1.3854 3.7983 1.1959
La 4.1561 4.2667 4.7936
La 4.1561 7.8308 4.7936
Er 1.3854 2.0163 4.2318
Er 4.1561 6.0488 1.7578
Co 1.3854 6.0488 4.6894
Co 4.1561 2.0163 1.3001
O 0.0191 2.0163 2.5838
O 0.0383 6.0488 0.0645
O 1.3854 4.1316 4.7575
O 1.3854 7.9659 4.7575
O 2.7325 6.0488 0.0645
O 2.7516 2.0163 2.5838
O 2.7899 6.0488 3.4058
O 2.8091 2.0163 5.9251
O 4.1561 0.0991 1.2321
O 4.1561 3.9334 1.2321
O 5.5032 2.0163 5.9251
O 5.5224 6.0488 3.4058